No. 1
! Tb2TmAl7Cu2 (GGA-PBE, relaxed); values from VASP
&SYSTEM
  ibrav = 0, nat = 12, ntyp = 4
/
ATOMIC_SPECIES
Al 26.98 Al.upf
Cu 63.55 Cu.upf
Tb 158.93 Tb.upf
Tm 168.93 Tm.upf
CELL_PARAMETERS angstrom
2.740 1.582 8.468
-2.740 1.582 8.468
0.000 -3.164 8.468
ATOMIC_POSITIONS angstrom
Al 0.000 1.610 10.458
Al 1.395 0.805 14.945
Al -1.395 0.805 14.945
Al 0.000 0.000 12.701
Al 1.395 -0.805 10.458
Al -1.395 -0.805 10.458
Al 0.000 -1.610 14.945
Cu 0.000 0.000 8.517
Cu 0.000 0.000 16.885
Tb 0.000 0.000 3.602
Tb 0.000 0.000 21.801
Tm 0.000 0.000 0.000
! Raw total energy   -4.42 eV/atom
! Symmetry   No. 166


No. 2
! Tb2YAl7Cu2 (GGA-PBE, relaxed); values from VASP
&SYSTEM
  ibrav = 0, nat = 12, ntyp = 4
/
ATOMIC_SPECIES
Al 26.98 Al.upf
Cu 63.55 Cu.upf
Tb 158.93 Tb.upf
Y 88.91 Y.upf
CELL_PARAMETERS angstrom
2.917 8.344 1.960
7.337 5.137 1.327
4.706 7.093 -3.086
ATOMIC_POSITIONS angstrom
Al 6.305 8.354 1.689
Al 7.744 12.857 1.082
Al 9.996 11.223 0.760
Al 7.480 10.287 0.100
Al 4.965 9.351 -0.559
Al 7.216 7.717 -0.882
Al 8.655 12.219 -1.489
Cu 5.017 6.900 0.067
Cu 9.943 13.674 0.133
Tb 2.124 2.921 0.028
Tb 12.837 17.653 0.172
Y 0.000 0.000 0.000
! Raw total energy   -4.61 eV/atom
! Symmetry   No. 166


No. 3
! TbZrAl2Cu4 (GGA-PBE, relaxed); values from VASP
&SYSTEM
  ibrav = 0, nat = 8, ntyp = 4
/
ATOMIC_SPECIES
Al 26.98 Al.upf
Cu 63.55 Cu.upf
Tb 158.93 Tb.upf
Zr 91.22 Zr.upf
CELL_PARAMETERS angstrom
4.287 0.000 0.000
-2.143 3.712 0.000
0.000 0.000 8.192
ATOMIC_POSITIONS angstrom
Al 2.143 1.237 2.278
Al 2.143 1.237 5.915
Cu 0.000 2.475 1.411
Cu 0.000 0.000 2.800
Cu 0.000 0.000 5.393
Cu 0.000 2.475 6.781
Tb 0.000 0.000 0.000
Zr 0.000 2.475 4.096
! Raw total energy   -4.81 eV/atom
! Symmetry   No. 187


No. 4
! AlCuTc (GGA-PBE, relaxed); values from VASP
&SYSTEM
  ibrav = 0, nat = 3, ntyp = 3
/
ATOMIC_SPECIES
Al 26.98 Al.upf
Cu 63.55 Cu.upf
Tc 98.00 Tc.upf
CELL_PARAMETERS angstrom
-2.610 -3.078 0.024
-3.464 0.307 2.048
-3.499 0.306 -1.987
ATOMIC_POSITIONS angstrom
Al -2.393 -0.616 0.021
Cu 0.000 0.000 0.000
Tc -7.180 -1.848 0.063
! Raw total energy   -5.57 eV/atom
! Symmetry   No. 216


No. 5
! Al2CuTc (GGA-PBE, relaxed); values from VASP
&SYSTEM
  ibrav = 0, nat = 4, ntyp = 3
/
ATOMIC_SPECIES
Al 26.98 Al.upf
Cu 63.55 Cu.upf
Tc 98.00 Tc.upf
CELL_PARAMETERS angstrom
-1.337 -3.253 2.449
-4.041 -0.090 1.424
-2.763 -2.873 -1.575
ATOMIC_POSITIONS angstrom
Al 0.000 0.000 0.000
Al -6.106 -4.662 1.724
Cu -4.071 -3.108 1.149
Tc -2.035 -1.554 0.575
! Raw total energy   -5.42 eV/atom
! Symmetry   No. 216


No. 6
! AlCuTe2 (GGA-PBE, relaxed); values from VASP
&SYSTEM
  ibrav = 0, nat = 8, ntyp = 3
/
ATOMIC_SPECIES
Al 26.98 Al.upf
Cu 63.55 Cu.upf
Te 127.60 Te.upf
CELL_PARAMETERS angstrom
-3.041 3.041 6.046
3.041 -3.041 6.046
3.041 3.041 -6.046
ATOMIC_POSITIONS angstrom
Al 0.000 0.000 0.000
Al 3.041 0.000 3.023
Cu 0.000 0.000 6.046
Cu 0.000 3.041 3.023
Te -1.467 1.520 4.536
Te 1.520 1.467 7.557
Te 1.520 1.574 1.510
Te 4.508 1.520 -1.510
! Raw total energy   -3.78 eV/atom
! Symmetry   No. 122


No. 7
! Al2CuTe (GGA-PBE, relaxed); values from VASP
&SYSTEM
  ibrav = 0, nat = 4, ntyp = 3
/
ATOMIC_SPECIES
Al 26.98 Al.upf
Cu 63.55 Cu.upf
Te 127.60 Te.upf
CELL_PARAMETERS angstrom
-2.538 -2.062 -2.007
-1.311 -1.553 3.254
-3.824 4.237 0.482
ATOMIC_POSITIONS angstrom
Al 0.000 0.000 0.000
Al -3.836 0.311 0.864
Cu -1.912 2.118 0.241
Te -1.924 -1.808 0.624
! Raw total energy   -3.35 eV/atom
! Symmetry   No. 123


No. 8
! AlCuTe (GGA-PBE, relaxed); values from VASP
&SYSTEM
  ibrav = 0, nat = 3, ntyp = 3
/
ATOMIC_SPECIES
Al 26.98 Al.upf
Cu 63.55 Cu.upf
Te 127.60 Te.upf
CELL_PARAMETERS angstrom
0.000 3.270 3.270
3.270 0.000 3.270
3.270 3.270 0.000
ATOMIC_POSITIONS angstrom
Al 1.635 1.635 1.635
Cu 4.904 4.904 4.904
Te 0.000 0.000 0.000
! Raw total energy   -3.17 eV/atom
! Symmetry   No. 216


No. 9
! Al2CuTe (GGA-PBE, relaxed); values from VASP
&SYSTEM
  ibrav = 0, nat = 4, ntyp = 3
/
ATOMIC_SPECIES
Al 26.98 Al.upf
Cu 63.55 Cu.upf
Te 127.60 Te.upf
CELL_PARAMETERS angstrom
0.000 3.367 3.367
3.367 0.000 3.367
3.367 3.367 0.000
ATOMIC_POSITIONS angstrom
Al 0.000 0.000 0.000
Al 5.050 5.050 5.050
Cu 1.683 1.683 1.683
Te 3.367 3.367 3.367
! Raw total energy   -3.25 eV/atom
! Symmetry   No. 216


No. 10
! AlCuTe2 (GGA-PBE, relaxed); values from VASP
&SYSTEM
  ibrav = 0, nat = 4, ntyp = 3
/
ATOMIC_SPECIES
Al 26.98 Al.upf
Cu 63.55 Cu.upf
Te 127.60 Te.upf
CELL_PARAMETERS angstrom
0.000 3.567 3.567
3.567 0.000 3.567
3.567 3.567 0.000
ATOMIC_POSITIONS angstrom
Al 3.567 3.567 3.567
Cu 1.783 1.783 1.783
Te 0.000 0.000 0.000
Te 5.350 5.350 5.350
! Raw total energy   -2.98 eV/atom
! Symmetry   No. 216


No. 11
! ZrAlCu2Te4 (GGA-PBE, relaxed); values from VASP
&SYSTEM
  ibrav = 0, nat = 8, ntyp = 4
/
ATOMIC_SPECIES
Al 26.98 Al.upf
Cu 63.55 Cu.upf
Te 127.60 Te.upf
Zr 91.22 Zr.upf
CELL_PARAMETERS angstrom
-3.079 3.079 6.232
3.079 -3.079 6.232
3.079 3.079 -6.232
ATOMIC_POSITIONS angstrom
Al 0.000 0.000 6.232
Cu 0.000 0.000 0.000
Cu 0.000 3.079 3.116
Te -1.475 1.652 4.728
Te 1.427 1.604 1.504
Te 1.652 1.475 7.736
Te 4.554 1.427 -1.504
Zr 3.079 0.000 3.116
! Raw total energy   -4.32 eV/atom
! Symmetry   No. 82


No. 12
! Al2TlCu (GGA-PBE, relaxed); values from VASP
&SYSTEM
  ibrav = 0, nat = 4, ntyp = 3
/
ATOMIC_SPECIES
Al 26.98 Al.upf
Cu 63.55 Cu.upf
Tl 204.38 Tl.upf
CELL_PARAMETERS angstrom
0.000 3.355 3.355
3.355 0.000 3.355
3.355 3.355 0.000
ATOMIC_POSITIONS angstrom
Al 0.000 0.000 0.000
Al 5.033 5.033 5.033
Cu 1.678 1.678 1.678
Tl 3.355 3.355 3.355
! Raw total energy   -3.05 eV/atom
! Symmetry   No. 216


No. 13
! YTmAl4Cu2 (GGA-PBE, relaxed); values from VASP
&SYSTEM
  ibrav = 0, nat = 8, ntyp = 4
/
ATOMIC_SPECIES
Al 26.98 Al.upf
Cu 63.55 Cu.upf
Tm 168.93 Tm.upf
Y 88.91 Y.upf
CELL_PARAMETERS angstrom
6.773 0.000 0.000
0.000 2.105 5.022
0.000 -2.105 5.022
ATOMIC_POSITIONS angstrom
Al 1.328 0.000 1.388
Al 5.445 0.000 1.388
Al 2.049 0.000 8.659
Al 4.725 0.000 8.659
Cu 3.387 0.000 2.897
Cu 0.000 0.000 7.141
Tm 0.000 0.000 4.288
Y 3.387 0.000 5.755
! Raw total energy   -4.61 eV/atom
! Symmetry   No. 38


No. 14
! YTm2Al3Cu3 (GGA-PBE, relaxed); values from VASP
&SYSTEM
  ibrav = 0, nat = 9, ntyp = 4
/
ATOMIC_SPECIES
Al 26.98 Al.upf
Cu 63.55 Cu.upf
Tm 168.93 Tm.upf
Y 88.91 Y.upf
CELL_PARAMETERS angstrom
-3.115 -1.810 -1.714
3.713 -5.877 -0.545
-3.835 1.204 5.698
ATOMIC_POSITIONS angstrom
Al 1.249 -6.494 -0.057
Al -1.650 -4.474 3.080
Al -4.514 -1.088 4.709
Cu -0.340 -4.446 0.668
Cu -2.897 -2.046 2.783
Cu -0.121 -4.656 5.135
Tm 2.178 -3.450 -0.317
Tm -2.250 0.704 3.346
Y -0.050 -1.936 2.135
! Raw total energy   -4.66 eV/atom
! Symmetry   No. 38


No. 15
! Y2TmAl3Cu3 (GGA-PBE, relaxed); values from VASP
&SYSTEM
  ibrav = 0, nat = 9, ntyp = 4
/
ATOMIC_SPECIES
Al 26.98 Al.upf
Cu 63.55 Cu.upf
Tm 168.93 Tm.upf
Y 88.91 Y.upf
CELL_PARAMETERS angstrom
4.002 0.000 0.000
0.000 6.047 3.502
0.000 -6.047 3.502
ATOMIC_POSITIONS angstrom
Al 2.001 0.000 1.655
Al 2.001 1.427 6.172
Al 2.001 -1.427 6.172
Cu 2.001 1.978 3.511
Cu 2.001 -1.978 3.511
Cu 0.000 0.000 6.979
Tm 0.000 0.000 4.111
Y 0.000 2.503 1.453
Y 0.000 -2.503 1.453
! Raw total energy   -4.88 eV/atom
! Symmetry   No. 38


No. 16
! Tm3AlZn2Cu3 (GGA-PBE, relaxed); values from VASP
&SYSTEM
  ibrav = 0, nat = 9, ntyp = 4
/
ATOMIC_SPECIES
Al 26.98 Al.upf
Cu 63.55 Cu.upf
Tm 168.93 Tm.upf
Zn 65.41 Zn.upf
CELL_PARAMETERS angstrom
3.822 0.000 0.000
0.000 6.115 3.508
0.000 -6.115 3.508
ATOMIC_POSITIONS angstrom
Al 1.911 0.000 1.682
Cu 0.000 0.000 0.037
Cu 1.911 1.994 3.481
Cu 1.911 -1.994 3.481
Tm 0.000 3.563 4.946
Tm 0.000 0.000 4.164
Tm 0.000 -3.563 4.946
Zn 1.911 4.611 2.664
Zn 1.911 -4.611 2.664
! Raw total energy   -3.82 eV/atom
! Symmetry   No. 38


No. 17
! TmZr2Al3Cu3 (GGA-PBE, relaxed); values from VASP
&SYSTEM
  ibrav = 0, nat = 9, ntyp = 4
/
ATOMIC_SPECIES
Al 26.98 Al.upf
Cu 63.55 Cu.upf
Tm 168.93 Tm.upf
Zr 91.22 Zr.upf
CELL_PARAMETERS angstrom
3.970 0.000 0.000
0.000 5.773 3.353
0.000 -5.773 3.353
ATOMIC_POSITIONS angstrom
Al 1.985 4.318 4.142
Al 1.985 0.000 5.102
Al 1.985 -4.318 4.142
Cu 1.985 1.939 3.349
Cu 1.985 -1.939 3.349
Cu 0.000 0.000 6.693
Tm 0.000 0.000 2.798
Zr 0.000 3.367 1.976
Zr 0.000 -3.367 1.976
! Raw total energy   -5.31 eV/atom
! Symmetry   No. 38


No. 18
! TmZrAl2Cu4 (GGA-PBE, relaxed); values from VASP
&SYSTEM
  ibrav = 0, nat = 8, ntyp = 4
/
ATOMIC_SPECIES
Al 26.98 Al.upf
Cu 63.55 Cu.upf
Tm 168.93 Tm.upf
Zr 91.22 Zr.upf
CELL_PARAMETERS angstrom
4.265 0.000 0.000
-2.132 3.693 0.000
0.000 0.000 8.199
ATOMIC_POSITIONS angstrom
Al 2.132 1.231 2.290
Al 2.132 1.231 5.909
Cu 0.000 2.462 1.395
Cu 0.000 0.000 2.788
Cu 0.000 0.000 5.412
Cu 0.000 2.462 6.805
Tm 0.000 0.000 0.000
Zr 0.000 2.462 4.100
! Raw total energy   -4.80 eV/atom
! Symmetry   No. 187


No. 19
! AlCuW2 (GGA-PBE, relaxed); values from VASP
&SYSTEM
  ibrav = 0, nat = 4, ntyp = 3
/
ATOMIC_SPECIES
Al 26.98 Al.upf
Cu 63.55 Cu.upf
W 183.84 W.upf
CELL_PARAMETERS angstrom
0.000 3.098 3.098
3.098 0.000 3.098
3.098 3.098 0.000
ATOMIC_POSITIONS angstrom
Al 3.098 3.098 3.098
Cu 1.549 1.549 1.549
W 0.000 0.000 0.000
W 4.648 4.648 4.648
! Raw total energy   -8.14 eV/atom
! Symmetry   No. 216


No. 20
! AlZnCuW (GGA-PBE, relaxed); values from VASP
&SYSTEM
  ibrav = 0, nat = 4, ntyp = 4
/
ATOMIC_SPECIES
Al 26.98 Al.upf
Cu 63.55 Cu.upf
W 183.84 W.upf
Zn 65.41 Zn.upf
CELL_PARAMETERS angstrom
0.000 3.062 3.062
3.062 0.000 3.062
3.062 3.062 0.000
ATOMIC_POSITIONS angstrom
Al 0.000 0.000 0.000
Cu 4.593 4.593 4.593
W 3.062 3.062 3.062
Zn 1.531 1.531 1.531
! Raw total energy   -5.02 eV/atom
! Symmetry   No. 216


No. 21
! AlZnCuW (GGA-PBE, relaxed); values from VASP
&SYSTEM
  ibrav = 0, nat = 4, ntyp = 4
/
ATOMIC_SPECIES
Al 26.98 Al.upf
Cu 63.55 Cu.upf
W 183.84 W.upf
Zn 65.41 Zn.upf
CELL_PARAMETERS angstrom
0.000 3.060 3.060
3.060 0.000 3.060
3.060 3.060 0.000
ATOMIC_POSITIONS angstrom
Al 0.000 0.000 0.000
Cu 4.591 4.591 4.591
W 1.530 1.530 1.530
Zn 3.060 3.060 3.060
! Raw total energy   -5.08 eV/atom
! Symmetry   No. 216


No. 22
! ZrAlCuW (GGA-PBE, relaxed); values from VASP
&SYSTEM
  ibrav = 0, nat = 4, ntyp = 4
/
ATOMIC_SPECIES
Al 26.98 Al.upf
Cu 63.55 Cu.upf
W 183.84 W.upf
Zr 91.22 Zr.upf
CELL_PARAMETERS angstrom
-3.342 -1.738 -2.559
-4.324 0.294 1.396
-2.902 2.776 -2.147
ATOMIC_POSITIONS angstrom
Al 0.000 0.000 0.000
Cu -7.926 0.999 -2.482
W -2.642 0.333 -0.827
Zr -5.284 0.666 -1.655
! Raw total energy   -7.05 eV/atom
! Symmetry   No. 216


No. 23
! Y2Al5Cu5 (GGA-PBE, relaxed); values from VASP
&SYSTEM
  ibrav = 0, nat = 12, ntyp = 3
/
ATOMIC_SPECIES
Al 26.98 Al.upf
Cu 63.55 Cu.upf
Y 88.91 Y.upf
CELL_PARAMETERS angstrom
-2.074 2.170 2.778
-4.501 -0.990 -2.587
-1.194 -7.443 4.925
ATOMIC_POSITIONS angstrom
Al -2.450 -0.945 1.920
Al -4.697 -1.439 0.629
Al -1.634 -2.636 3.851
Al -3.072 -4.824 4.486
Al -5.319 -5.318 3.195
Cu -3.287 0.590 0.095
Cu -2.447 -1.721 -0.482
Cu -0.398 -2.479 1.640
Cu -0.796 -4.965 3.285
Cu -3.247 -6.712 2.819
Y 0.000 0.000 0.000
Y -2.847 -4.217 1.169
! Raw total energy   -4.63 eV/atom
! Symmetry   No. 47


No. 24
! Y2AlCu2 (GGA-PBE, relaxed); values from VASP
&SYSTEM
  ibrav = 0, nat = 5, ntyp = 3
/
ATOMIC_SPECIES
Al 26.98 Al.upf
Cu 63.55 Cu.upf
Y 88.91 Y.upf
CELL_PARAMETERS angstrom
-2.684 2.684 3.674
2.684 -2.684 3.674
2.684 2.684 -3.674
ATOMIC_POSITIONS angstrom
Al 0.000 0.000 0.000
Cu 0.000 0.000 2.554
Cu 0.000 0.000 4.794
Y 0.000 2.684 1.837
Y 2.684 0.000 1.837
! Raw total energy   -4.94 eV/atom
! Symmetry   No. 139


No. 25
! YAlCu2 (GGA-PBE, relaxed); values from VASP
&SYSTEM
  ibrav = 0, nat = 4, ntyp = 3
/
ATOMIC_SPECIES
Al 26.98 Al.upf
Cu 63.55 Cu.upf
Y 88.91 Y.upf
CELL_PARAMETERS angstrom
0.076 -3.834 2.490
-3.663 -2.735 0.100
0.130 -4.072 -2.076
ATOMIC_POSITIONS angstrom
Al -1.728 -5.320 0.257
Cu 0.000 0.000 0.000
Cu -2.593 -7.981 0.385
Y -0.864 -2.660 0.128
! Raw total energy   -4.55 eV/atom
! Symmetry   No. 216


No. 26
! YAl2Cu2 (GGA-PBE, relaxed); values from VASP
&SYSTEM
  ibrav = 0, nat = 5, ntyp = 3
/
ATOMIC_SPECIES
Al 26.98 Al.upf
Cu 63.55 Cu.upf
Y 88.91 Y.upf
CELL_PARAMETERS angstrom
-2.019 2.019 5.300
2.019 -2.019 5.300
2.019 2.019 -5.300
ATOMIC_POSITIONS angstrom
Al 0.000 2.019 2.650
Al 2.019 0.000 2.650
Cu 0.000 0.000 4.094
Cu 0.000 0.000 6.506
Y 0.000 0.000 0.000
! Raw total energy   -4.70 eV/atom
! Symmetry   No. 139


No. 27
! YAl6Cu (GGA-PBE, relaxed); values from VASP
&SYSTEM
  ibrav = 0, nat = 8, ntyp = 3
/
ATOMIC_SPECIES
Al 26.98 Al.upf
Cu 63.55 Cu.upf
Y 88.91 Y.upf
CELL_PARAMETERS angstrom
6.021 0.000 0.000
-3.011 5.215 0.000
0.000 0.000 4.561
ATOMIC_POSITIONS angstrom
Al 0.000 1.692 0.000
Al -1.545 4.368 0.000
Al 1.545 4.368 0.000
Al 1.371 2.685 2.280
Al -1.371 2.685 2.280
Al 0.000 5.060 2.280
Cu 0.000 0.000 2.280
Y 3.011 1.738 0.000
! Raw total energy   -4.18 eV/atom
! Symmetry   No. 187